Here is a geometry-optimized CeSmDyGa structure from Alexandria. Energies are from GGA-PBE.

Calculated values
As for the density: 8.313 g/cm³. The total magnetization is 0.00 Bohr magnetons per cell. The value obtained for the calculated total energy is -18.46 eV per formula unit. The calculation puts the density of states at the Fermi level at 5.593 states/eV/cell.

Cell and atoms, written as POSCAR:
```
CeSmDyGa
1.0
5.286 0.000 0.000
2.643 4.577 0.000
2.643 1.526 4.316
Dy Ga Sm Ce
1 1 1 1
Direct
0.000 0.000 0.000 Dy
0.250 0.250 0.250 Ga
0.500 0.500 0.500 Sm
0.750 0.750 0.750 Ce
```

=====

Here is a geometry-optimized PaGaTcO6 structure from Alexandria. Energies are from GGA-PBE.

Calculated values
As for the density: 7.486 g/cm³. The total magnetization is 6.02 Bohr magnetons per cell. The value obtained for the calculated total energy is -72.09 eV per formula unit. The raw formation energy comes out at -2.16 eV per atom. The calculation puts the density of states at the Fermi level at 0.631 states/eV/cell.

Cell and atoms, written as POSCAR:
```
PaGaTcO6
1.0
-1.735 -5.049 0.441
4.674 1.427 2.195
-4.161 2.085 7.505
O Pa Tc Ga
12 2 2 2
Direct
0.663 0.685 0.625 O
0.685 0.022 0.375 O
0.663 0.978 0.875 O
0.978 0.315 0.125 O
0.337 0.022 0.125 O
0.685 0.663 0.125 O
0.022 0.337 0.625 O
0.337 0.315 0.375 O
0.315 0.337 0.875 O
0.978 0.663 0.375 O
0.022 0.685 0.875 O
0.315 0.978 0.625 O
0.333 0.667 0.250 Pa
0.667 0.333 0.750 Pa
0.333 0.667 0.750 Tc
0.667 0.333 0.250 Tc
0.000 0.000 0.500 Ga
0.000 0.000 0.000 Ga
```

=====

- total magnetization of number 1 (CeSmDyGa)?
  0.00 Bohr magnetons per cell

=====

- What is the density in the first record?
  8.313 g/cm³

=====

- Among the records above, which one has the lowest total magnetization?
  CeSmDyGa

=====

Repeat the second record exactly.
Here is a geometry-optimized PaGaTcO6 structure from Alexandria. Energies are from GGA-PBE.

Calculated values
As for the density: 7.486 g/cm³. The total magnetization is 6.02 Bohr magnetons per cell. The value obtained for the calculated total energy is -72.09 eV per formula unit. The raw formation energy comes out at -2.16 eV per atom. The calculation puts the density of states at the Fermi level at 0.631 states/eV/cell.

Cell and atoms, written as POSCAR:
```
PaGaTcO6
1.0
-1.735 -5.049 0.441
4.674 1.427 2.195
-4.161 2.085 7.505
O Pa Tc Ga
12 2 2 2
Direct
0.663 0.685 0.625 O
0.685 0.022 0.375 O
0.663 0.978 0.875 O
0.978 0.315 0.125 O
0.337 0.022 0.125 O
0.685 0.663 0.125 O
0.022 0.337 0.625 O
0.337 0.315 0.375 O
0.315 0.337 0.875 O
0.978 0.663 0.375 O
0.022 0.685 0.875 O
0.315 0.978 0.625 O
0.333 0.667 0.250 Pa
0.667 0.333 0.750 Pa
0.333 0.667 0.750 Tc
0.667 0.333 0.250 Tc
0.000 0.000 0.500 Ga
0.000 0.000 0.000 Ga
```